No. 1
A plane-wave DFT calculation with PBE was carried out for a relaxed structure of LiSc2Co2.

a b c (Å): 6.726 6.726 3.555
angles (deg): 90.00 90.00 90.00
Fractional positions:
Li (0.000, 0.000, 0.000)
Li (0.500, 0.500, 0.000)
Sc (0.173, 0.327, 0.500)
Sc (0.327, 0.827, 0.500)
Sc (0.673, 0.173, 0.500)
Sc (0.827, 0.673, 0.500)
Co (0.123, 0.623, 0.000)
Co (0.377, 0.123, 0.000)
Co (0.623, 0.877, 0.000)
Co (0.877, 0.377, 0.000)

Summary:
For the mass density, the calculation gives 4.43 g/cm3. As for the magnetic moment: 0.00 μB per atom. The energy relative to the lowest polymorph listed for this composition comes out at 0 meV per atom. For the calculated formation energy, the calculation gives -122.8 meV per atom. Its space group is No. 127.

---

No. 2
A plane-wave DFT calculation with PBE was carried out for a relaxed structure of Pm8Nd2Y3.

a b c (Å): 6.301 6.303 11.508
angles (deg): 89.96 79.44 80.43
Fractional positions:
Pm (0.038, 0.078, 0.348)
Pm (0.193, 0.383, 0.729)
Pm (0.346, 0.692, 0.117)
Pm (0.423, 0.845, 0.805)
Pm (0.577, 0.155, 0.195)
Pm (0.654, 0.308, 0.883)
Pm (0.807, 0.617, 0.271)
Pm (0.962, 0.922, 0.652)
Nd (0.116, 0.230, 0.040)
Nd (0.884, 0.770, 0.960)
Y (0.269, 0.539, 0.424)
Y (0.500, 0.000, 0.500)
Y (0.731, 0.461, 0.576)

Summary:
For the mass density, the calculation gives 6.43 g/cm3. As for the magnetic moment: 0.00 μB per atom. The energy relative to the lowest polymorph listed for this composition comes out at 0 meV per atom. For the calculated formation energy, the calculation gives 15.1 meV per atom. Its space group is No. 2.

---

No. 3
A plane-wave DFT calculation with PBE was carried out for a relaxed structure of PmGaCo2.

a b c (Å): 4.170 4.170 9.574
angles (deg): 90.00 90.00 120.00
Fractional positions:
Pm (0.333, 0.667, 0.250)
Pm (0.667, 0.333, 0.750)
Ga (0.000, 0.000, 0.000)
Ga (0.000, 0.000, 0.500)
Co (0.333, 0.667, 0.532)
Co (0.333, 0.667, 0.968)
Co (0.667, 0.333, 0.032)
Co (0.667, 0.333, 0.468)

Summary:
For the mass density, the calculation gives 7.66 g/cm3. As for the magnetic moment: 0.32 μB per atom. For the calculated formation energy, the calculation gives -263.3 meV per atom. Its space group is No. 194.

---

No. 4
A plane-wave DFT calculation with PBE was carried out for a relaxed structure of HfZnAg2.

a b c (Å): 3.112 3.112 7.381
angles (deg): 90.00 90.00 90.00
Fractional positions:
Hf (0.000, 0.000, 0.000)
Zn (0.000, 0.000, 0.500)
Ag (0.500, 0.500, 0.275)
Ag (0.500, 0.500, 0.725)

Summary:
For the mass density, the calculation gives 10.68 g/cm3. As for the magnetic moment: 0.00 μB per atom. For the calculated formation energy, the calculation gives 10.5 meV per atom. Its space group is No. 123.

---

No. 5
A plane-wave DFT calculation with PBE was carried out for a relaxed structure of CsIF2.

a b c (Å): 4.894 4.894 19.843
angles (deg): 90.00 90.00 120.00
Fractional positions:
Cs (0.000, 0.000, 0.000)
Cs (0.333, 0.667, 0.667)
Cs (0.667, 0.333, 0.333)
I (0.000, 0.000, 0.500)
I (0.333, 0.667, 0.167)
I (0.667, 0.333, 0.833)
F (0.000, 0.000, 0.393)
F (0.000, 0.000, 0.607)
F (0.333, 0.667, 0.059)
F (0.333, 0.667, 0.274)
F (0.667, 0.333, 0.726)
F (0.667, 0.333, 0.941)

Summary:
For the mass density, the calculation gives 3.60 g/cm3. Its formation energy from raw total energies is -1906 meV per atom. As for the magnetic moment: 0.00 μB per atom. The energy relative to the lowest polymorph listed for this composition comes out at 0 meV per atom. Its space group is No. 166.